(1)
Material: Cd3NiN
Method: DFT, PBE
State: relaxed

a b c (Å): 4.979 4.979 4.979
angles (deg): 90.00 90.00 90.00
Space group Pm-3m (No. 221)
Symmetry-distinct sites (fractional):
Cd  0.000  0.000  0.500 [3 per cell]
Ni  0.000  0.000  0.000 [1 per cell]
N  0.500  0.500  0.500 [1 per cell]

**Uncorrected formation energy**: 1138.9 meV per atom
**Offset from the most stable computed form**: 0.4514 eV/atom

***

(2)
Material: AlReB2
Method: DFT, PBE
State: relaxed

a b c (Å): 4.985 4.985 9.269
angles (deg): 90.00 90.00 90.00
Space group I-42d (No. 122)
Symmetry-distinct sites (fractional):
Al  0.000  0.000  0.000 [4 per cell]
Re  0.000  0.000  0.500 [4 per cell]
B  0.222  0.250  0.625 [8 per cell]

**Energy of formation**: 63.9 kJ per mole of atoms

***

(3)
Material: InTcNi
Method: DFT, PBE
State: relaxed

a b c (Å): 4.503 2.958 7.001
angles (deg): 90.00 98.57 90.00
Space group P2 (No. 3)
Symmetry-distinct sites (fractional):
In  0.213  0.000  0.344 [2 per cell]
Tc  0.000  0.539  0.000 [1 per cell]
Tc  0.500  0.947  0.000 [1 per cell]
Ni  0.292  0.483  0.687 [2 per cell]

**Offset from the most stable computed form**: 0.0794 eV/atom
**Energy of formation**: 11.4 kJ per mole of atoms

***

(4)
Material: Mg2CoW
Method: DFT, PBE
State: relaxed

a b c (Å): 2.779 4.203 5.665
angles (deg): 90.00 102.71 90.00
Space group Pm (No. 6)
Symmetry-distinct sites (fractional):
Mg  0.000  0.000  0.000 [1 per cell]
Mg  0.312  0.500  0.720 [1 per cell]
Co  0.542  0.000  0.454 [1 per cell]
W  0.679  0.500  0.267 [1 per cell]

**Offset from the most stable computed form**: 0.1676 eV/atom
**Energy of formation**: 30.9 kJ per mole of atoms

***

(5)
Material: Cd3SO6
Method: DFT, PBE
State: relaxed

a b c (Å): 5.380 5.506 9.383
angles (deg): 90.00 124.16 90.00
Space group P2_1/c (No. 14)
Symmetry-distinct sites (fractional):
Cd  0.000  0.000  0.000 [2 per cell]
Cd  0.259  0.044  0.747 [4 per cell]
S  0.500  0.000  0.500 [2 per cell]
O  0.185  0.054  0.294 [4 per cell]
O  0.294  0.672  0.048 [4 per cell]
O  0.413  0.248  0.071 [4 per cell]

**Uncorrected formation energy**: -881.1 meV per atom
**Offset from the most stable computed form**: 0.2602 eV/atom

***

(6)
Material: Ni2Mo2Os
Method: DFT, PBE
State: relaxed

a b c (Å): 6.577 6.577 3.135
angles (deg): 90.00 90.00 90.00
Space group P4/mbm (No. 127)
Symmetry-distinct sites (fractional):
Ni  0.126  0.374  0.000 [4 per cell]
Mo  0.175  0.675  0.500 [4 per cell]
Os  0.000  0.000  0.000 [2 per cell]

**Offset from the most stable computed form**: 0.0000 eV/atom
**Energy of formation**: 11.3 kJ per mole of atoms